This record from Alexandria describes an optimized crystal structure of KMg2TlRh. The functional is PBE.

Cell lengths 5.1218, 5.1218, 5.3098 Å; angles 90.00, 90.00, 90.00 degrees
Fractional coordinates of all 5 atoms:
1 Mg 0.0000 0.5000 0.0000
2 Mg 0.5000 0.0000 0.0000
3 Tl 0.0000 0.0000 0.5000
4 Rh 0.0000 0.0000 0.0000
5 K 0.5000 0.5000 0.5000

Calculated values
space-group type = No. 123
total magnetic moment = 0.00 μB/f.u.
energy relative to the elements = -0.17 eV/atom


This record from Alexandria describes an optimized crystal structure of MgBrNO2. The functional is PBE.

Cell lengths 3.9239, 3.9239, 4.6136 Å; angles 90.00, 90.00, 90.00 degrees
Last column: magnetic moment on the atom in μB.
Fractional coordinates of all 5 atoms:
1 Mg 0.0000 0.0000 0.0000  0.01
2 O 0.0000 0.5000 0.0000  -0.93
3 O 0.5000 0.0000 0.0000  -0.93
4 Br 0.5000 0.5000 0.5000  -0.48
5 N 0.0000 0.0000 0.5000  0.56

Calculated values
space-group type = No. 123
total magnetic moment = 2.01 μB/f.u.
uncorrected formation energy = 0.65 eV/atom


This record from Alexandria describes an optimized crystal structure of PuSbH. The functional is PBE.

Cell lengths 3.4432, 7.7084, 5.4028 Å; angles 124.84, 90.00, 90.00 degrees
Last column: magnetic moment on the atom in μB.
Fractional coordinates of all 6 atoms:
1 Pu 0.2500 0.7226 0.5305  4.96
2 Pu 0.7500 0.2774 0.4695  4.96
3 Sb 0.2500 0.2228 0.9234  -0.12
4 Sb 0.7500 0.7772 0.0766  -0.12
5 H 0.2500 0.4719 0.6003  -0.03
6 H 0.7500 0.5281 0.3997  -0.03

Calculated values
space-group type = No. 11
total magnetic moment = 4.86 μB/f.u.
polymorph energy (0 for the lowest one) = 5.0 kJ per mole of atoms


This record from Alexandria describes an optimized crystal structure of RbHf2Sc2. The functional is PBE.

Cell lengths 4.0775, 4.0775, 11.0635 Å; angles 79.38, 79.38, 90.00 degrees
Fractional coordinates of all 5 atoms:
1 Sc 0.3573 0.3573 0.2854
2 Sc 0.6427 0.6427 0.7146
3 Hf 0.7500 0.2500 0.5000
4 Hf 0.2500 0.7500 0.5000
5 Rb 0.0000 0.0000 0.0000

Calculated values
space-group type = No. 139
total magnetic moment = 0.00 μB/f.u.
energy relative to the elements = 0.72 eV/atom
polymorph energy (0 for the lowest one) = 8.3 kJ per mole of atoms


This record from Alexandria describes an optimized crystal structure of BaTaCr2B. The functional is PBE.

Cell lengths 4.4628, 4.4628, 4.5901 Å; angles 90.00, 90.00, 90.00 degrees
Last column: magnetic moment on the atom in μB.
Fractional coordinates of all 5 atoms:
1 Cr 0.0000 0.5000 0.0000  2.92
2 Cr 0.5000 0.0000 0.0000  2.92
3 B 0.0000 0.0000 0.0000  -0.09
4 Ba 0.5000 0.5000 0.5000  0.02
5 Ta 0.0000 0.0000 0.5000  -0.41

Calculated values
space-group type = No. 123
total magnetic moment = 5.82 μB/f.u.
energy relative to the elements = 0.87 eV/atom


This record from Alexandria describes an optimized crystal structure of La8Y6Ho. The functional is PBE.

Cell lengths 6.7441, 9.4697, 9.4697 Å; angles 120.00, 90.00, 90.00 degrees
Fractional coordinates of all 15 atoms:
1 La 0.8347 0.0448 0.2921
2 La 0.8347 0.7079 0.7527
3 La 0.8347 0.2473 0.9552
4 La 0.1653 0.9552 0.7079
5 La 0.1653 0.2921 0.2473
6 La 0.1653 0.7527 0.0448
7 La 0.8812 0.3333 0.6667
8 La 0.1188 0.6667 0.3333
9 Y 0.6498 0.6626 0.0978
10 Y 0.6498 0.9022 0.5648
11 Y 0.6498 0.4352 0.3374
12 Y 0.3502 0.3374 0.9022
13 Y 0.3502 0.0978 0.4352
14 Y 0.3502 0.5648 0.6626
15 Ho 0.5000 0.0000 0.0000

Calculated values
space-group type = No. 147
total magnetic moment = 0.00 μB/f.u.
energy relative to the elements = 0.15 eV/atom


This record from Alexandria describes an optimized crystal structure of BaPmSi. The functional is PBE.

Cell lengths 4.9827, 4.9581, 4.9581 Å; angles 120.00, 90.00, 90.00 degrees
Fractional coordinates of all 3 atoms:
1 Si 0.1113 0.0000 0.0000
2 Ba 0.6859 0.6667 0.3333
3 Pm 0.2028 0.3333 0.6667

Calculated values
space-group type = No. 156
total magnetic moment = 0.00 μB/f.u.
uncorrected formation energy = -0.22 eV/atom
polymorph energy (0 for the lowest one) = 14.9 kJ per mole of atoms


This record from Alexandria describes an optimized crystal structure of KAsRuSe2. The functional is PBE.

Cell lengths 5.5142, 5.5142, 5.3027 Å; angles 90.00, 90.00, 90.00 degrees
Last column: magnetic moment on the atom in μB.
Fractional coordinates of all 5 atoms:
1 Ru 0.5000 0.5000 0.5000  -0.19
2 As 0.0000 0.0000 0.5000  0.14
3 K 0.0000 0.0000 0.0000  0.00
4 Se 0.0000 0.5000 0.0000  0.00
5 Se 0.5000 0.0000 0.0000  0.00

Calculated values
space-group type = No. 123
total magnetic moment = 0.08 μB/f.u.
uncorrected formation energy = 2.04 eV/atom
polymorph energy (0 for the lowest one) = 201.3 kJ per mole of atoms


This record from Alexandria describes an optimized crystal structure of LiFeSe2. The functional is PBE.

Cell lengths 7.6570, 7.6570, 7.6570 Å; angles 27.12, 27.12, 27.12 degrees
Last column: magnetic moment on the atom in μB.
Fractional coordinates of all 4 atoms:
1 Fe 0.5000 0.5000 0.5000  0.97
2 Se 0.8906 0.8906 0.8906  0.01
3 Se 0.1094 0.1094 0.1094  0.01
4 Li 0.0000 0.0000 0.0000  0.00

Calculated values
space-group type = No. 166
total magnetic moment = 1.00 μB/f.u.
uncorrected formation energy = -0.37 eV/atom


This record from Alexandria describes an optimized crystal structure of PuHfPt2. The functional is PBE.

Cell lengths 4.0311, 4.0311, 6.7577 Å; angles 72.65, 72.65, 60.00 degrees
Last column: magnetic moment on the atom in μB.
Fractional coordinates of all 4 atoms:
1 Hf 0.0000 0.0000 0.0000  0.08
2 Pt 0.7400 0.7400 0.7799  -0.03
3 Pt 0.2600 0.2600 0.2201  -0.03
4 Pu 0.5000 0.5000 0.5000  5.12

Calculated values
space-group type = No. 166
total magnetic moment = 5.40 μB/f.u.
energy relative to the elements = -0.76 eV/atom
polymorph energy (0 for the lowest one) = 13.3 kJ per mole of atoms


This record from Alexandria describes an optimized crystal structure of YOsPb2. The functional is PBE.

Cell lengths 3.4367, 3.4367, 7.7444 Å; angles 90.00, 90.00, 90.00 degrees
Fractional coordinates of all 4 atoms:
1 Os 0.5000 0.5000 0.7500
2 Pb 0.0000 0.0000 0.9633
3 Pb 0.0000 0.0000 0.5367
4 Y 0.5000 0.5000 0.2500

Calculated values
space-group type = No. 123
total magnetic moment = 0.00 μB/f.u.
energy relative to the elements = 0.32 eV/atom
polymorph energy (0 for the lowest one) = 17.6 kJ per mole of atoms


This record from Alexandria describes an optimized crystal structure of Na2Pd15Au2. The functional is PBE.

Cell lengths 6.9658, 6.9658, 6.9658 Å; angles 81.86, 81.86, 81.86 degrees
Fractional coordinates of all 19 atoms:
1 Na 0.9005 0.9005 0.9005
2 Na 0.0995 0.0995 0.0995
3 Pd 0.0000 0.5000 0.0000
4 Pd 0.0000 0.0000 0.5000
5 Pd 0.5000 0.0000 0.0000
6 Pd 0.3358 0.0000 0.6642
7 Pd 0.6642 0.3358 0.0000
8 Pd 0.0000 0.6642 0.3358
9 Pd 0.3358 0.6642 0.0000
10 Pd 0.0000 0.3358 0.6642
11 Pd 0.6642 0.0000 0.3358
12 Pd 0.3374 0.8260 0.3374
13 Pd 0.3374 0.3374 0.8260
14 Pd 0.8260 0.3374 0.3374
15 Pd 0.6626 0.1740 0.6626
16 Pd 0.6626 0.6626 0.1740
17 Pd 0.1740 0.6626 0.6626
18 Au 0.6209 0.6209 0.6208
19 Au 0.3791 0.3792 0.3791

Calculated values
space-group type = No. 166
total magnetic moment = 0.00 μB/f.u.
energy relative to the elements = 0.11 eV/atom


This record from Alexandria describes an optimized crystal structure of RbNa2Ca. The functional is PBE.

Cell lengths 4.0016, 4.0016, 14.7814 Å; angles 82.22, 82.22, 60.00 degrees
Fractional coordinates of all 4 atoms:
1 Na 0.0824 0.0824 0.7527
2 Na 0.9176 0.9176 0.2473
3 Ca 0.0000 0.0000 0.0000
4 Rb 0.5000 0.5000 0.5000

Calculated values
space-group type = No. 166
total magnetic moment = 0.00 μB/f.u.
energy relative to the elements = 0.21 eV/atom
polymorph energy (0 for the lowest one) = 11.8 kJ per mole of atoms


This record from Alexandria describes an optimized crystal structure of LaSmHo2As4. The functional is PBE.

Cell lengths 4.2025, 7.2656, 7.2745 Å; angles 70.53, 90.00, 90.00 degrees
Fractional coordinates of all 8 atoms:
1 La 0.0000 0.5000 0.5000
2 Sm 0.5000 0.5000 0.0000
3 Ho 0.0000 0.0000 0.0000
4 Ho 0.5000 0.0000 0.5000
5 As 0.0000 0.7595 0.7502
6 As 0.0000 0.2405 0.2498
7 As 0.5000 0.7622 0.2426
8 As 0.5000 0.2378 0.7574

Calculated values
space-group type = No. 10
total magnetic moment = 0.00 μB/f.u.
energy relative to the elements = -1.53 eV/atom


This record from Alexandria describes an optimized crystal structure of LiMg4Mn. The functional is PBE.

Cell lengths 5.7375, 5.7375, 5.7375 Å; angles 60.00, 60.00, 60.00 degrees
Last column: magnetic moment on the atom in μB.
Fractional coordinates of all 6 atoms:
1 Li 0.0000 0.0000 0.0000  -0.02
2 Mg 0.8737 0.3754 0.3754  -0.01
3 Mg 0.3754 0.3754 0.8737  -0.01
4 Mg 0.3754 0.8737 0.3754  -0.01
5 Mg 0.3754 0.3754 0.3754  -0.01
6 Mn 0.7500 0.7500 0.7500  4.07

Calculated values
space-group type = No. 216
total magnetic moment = 4.08 μB/f.u.
energy relative to the elements = 0.29 eV/atom


This record from Alexandria describes an optimized crystal structure of LiYBr. The functional is PBE.

Cell lengths 3.6617, 3.6617, 26.7990 Å; angles 90.00, 90.00, 120.00 degrees
Last column: magnetic moment on the atom in μB.
Fractional coordinates of all 12 atoms:
1 Li 0.6667 0.3333 0.0537  0.00
2 Li 0.3333 0.6667 0.9463  0.00
3 Li 0.3333 0.6667 0.8249  0.03
4 Li 0.6667 0.3333 0.1751  0.03
5 Br 0.6667 0.3333 0.3613  0.00
6 Br 0.6667 0.3333 0.8870  0.01
7 Br 0.3333 0.6667 0.1130  0.01
8 Br 0.3333 0.6667 0.6387  0.00
9 Y 0.6667 0.3333 0.5512  0.01
10 Y 0.3333 0.6667 0.4488  0.01
11 Y 0.3333 0.6667 0.2784  0.40
12 Y 0.6667 0.3333 0.7216  0.40

Calculated values
space-group type = No. 164
total magnetic moment = 0.54 μB/f.u.
uncorrected formation energy = -0.76 eV/atom
polymorph energy (0 for the lowest one) = 0.0 kJ per mole of atoms


This record from Alexandria describes an optimized crystal structure of CrTc3I. The functional is PBE.

Cell lengths 4.5238, 4.5238, 4.5238 Å; angles 90.00, 90.00, 90.00 degrees
Fractional coordinates of all 5 atoms:
1 I 0.5000 0.5000 0.5000
2 Cr 0.0000 0.0000 0.0000
3 Tc 0.0000 0.5000 0.0000
4 Tc 0.0000 0.0000 0.5000
5 Tc 0.5000 0.0000 0.0000

Calculated values
space-group type = No. 221
total magnetic moment = 0.00 μB/f.u.
uncorrected formation energy = 1.50 eV/atom
polymorph energy (0 for the lowest one) = 0.0 kJ per mole of atoms


This record from Alexandria describes an optimized crystal structure of BiBr4. The functional is PBE.

Cell lengths 5.7262, 5.7262, 5.7262 Å; angles 90.00, 90.00, 90.00 degrees
Last column: magnetic moment on the atom in μB.
Fractional coordinates of all 5 atoms:
1 Bi 0.5000 0.5000 0.5000  0.00
2 Br 0.0000 0.0000 0.0000  0.59
3 Br 0.5000 0.0000 0.5000  0.04
4 Br 0.0000 0.5000 0.5000  0.04
5 Br 0.5000 0.5000 0.0000  0.04

Calculated values
space-group type = No. 221
total magnetic moment = 1.00 μB/f.u.
uncorrected formation energy = -0.23 eV/atom
polymorph energy (0 for the lowest one) = 16.7 kJ per mole of atoms


This record from Alexandria describes an optimized crystal structure of CaSmTm4Se8. The functional is PBE.

Cell lengths 8.3816, 8.3816, 8.4411 Å; angles 60.23, 60.23, 60.00 degrees
Fractional coordinates of all 14 atoms:
1 Ca 0.3736 0.3736 0.8791
2 Sm 0.0020 0.0020 0.9939
3 Tm 0.6256 0.6256 0.1232
4 Tm 0.0020 0.4938 0.5022
5 Tm 0.4938 0.0020 0.5022
6 Tm 0.0020 0.0020 0.5022
7 Se 0.2453 0.7791 0.7303
8 Se 0.7791 0.2453 0.7303
9 Se 0.2453 0.2453 0.7303
10 Se 0.2389 0.2389 0.2834
11 Se 0.7522 0.2299 0.2657
12 Se 0.2299 0.7522 0.2657
13 Se 0.7522 0.7522 0.2657
14 Se 0.7582 0.7582 0.7255

Calculated values
space-group type = No. 160
total magnetic moment = 0.00 μB/f.u.
uncorrected formation energy = -1.78 eV/atom


This record from Alexandria describes an optimized crystal structure of Mg2PPb. The functional is PBE.

Cell lengths 3.5158, 3.5158, 8.3019 Å; angles 90.00, 90.00, 90.00 degrees
Fractional coordinates of all 4 atoms:
1 Mg 0.0000 0.0000 0.0139
2 Mg 0.5000 0.5000 0.3982
3 P 0.0000 0.0000 0.3143
4 Pb 0.5000 0.5000 0.7736

Calculated values
space-group type = No. 99
total magnetic moment = 0.00 μB/f.u.
energy relative to the elements = -0.13 eV/atom